[1]
VASP calculation (PBE) on a geometry-optimized Cd4InHg4 structure.

As for the energy of formation from the pure elements: 0.034 eV per atom. Its raw total energy is -0.811 eV/atom.

The space group is I4/m (No. 87) and the conventional cell measures 9.117, 9.117 and 5.511 Å, with angles of 90.00, 90.00 and 90.00 degrees. The distinct sites, in fractional coordinates, are Cd at (0.053, 0.341, 0.000), In at (0.000, 0.000, 0.000) and Hg at (0.114, 0.214, 0.500).


[2]
VASP calculation (PBE) on a geometry-optimized As2HSeCl structure.

Its raw total energy is -2.936 eV/atom.

The space group is P4/mmm (No. 123) and the conventional cell measures 4.608, 4.608 and 3.988 Å, with angles of 90.00, 90.00 and 90.00 degrees. The distinct sites, in fractional coordinates, are As at (0.000, 0.500, 0.000), H at (0.000, 0.000, 0.000), Se at (0.000, 0.000, 0.500) and Cl at (0.500, 0.500, 0.500).


[3]
VASP calculation (PBE) on a geometry-optimized SnRhSe2 structure.

The value obtained for the energy relative to the elements, uncorrected is -0.2879 eV per atom. Its raw total energy is -4.869 eV/atom.

The space group is R-3m (No. 166, hexagonal axes) and the conventional cell measures 3.6813, 3.6813 and 25.3287 Å, with angles of 90.00, 90.00 and 120.00 degrees. The distinct sites, in fractional coordinates, are Sn at (0.0000, 0.0000, 0.0000), Rh at (0.0000, 0.0000, 0.5000) and Se at (0.0000, 0.0000, 0.1156).